Here is an optimized crystal structure of Mg3Ni2 from the Alexandria database. Energies are from PBEsol.

Computed properties:
- Density: 4.056 g cm⁻³
- Size of the total moment: 0.00 μB per atom
- E: -0.260 Ry/atom
- V: 15.58 A^3/atom
- Energy of formation from the pure elements: -48 meV per atom

a b c (Å): 9.664 5.980 11.190
angles (deg): 59.67 32.28 88.05
Sites, in units of the cell vectors:
Mg 0.000 0.000 0.000
Mg 0.232 0.785 0.553
Mg 0.250 0.250 0.250
Mg 0.697 0.820 0.018
Mg 0.785 0.232 0.430
Mg 0.820 0.697 0.465
Ni 0.309 0.612 0.755
Ni 0.495 0.926 0.941
Ni 0.612 0.309 0.324
Ni 0.926 0.495 0.638